A relaxed structure of Rb2PrUS4, computed with PBE.

a = 4.177 Å, b = 7.231 Å, c = 8.097 Å
α = 107.34°, β = 90.00°, γ = 90.00°
Each line ends with the local moment (μB).
Positions (direct):
Rb (0.500, 0.000, 0.500)  0.00
Rb (0.000, 0.500, 0.500)  0.00
U (0.000, 0.000, 0.000)  2.57
S (0.500, 0.779, 0.806)  -0.04
S (0.000, 0.743, 0.199)  -0.02
S (0.000, 0.257, 0.801)  -0.02
S (0.500, 0.221, 0.194)  -0.04
Pr (0.500, 0.500, 0.000)  0.11

## Properties
Mass density ... 4.82 g cm⁻³
Magnetic moment ... 3.0 μB/f.u.
Space-group type ... P2/m (10)
Uncorrected formation energy ... -1567.8 meV/atom

=====

A relaxed structure of TbB3O6, computed with PBE.

a = 6.514 Å, b = 6.514 Å, c = 6.514 Å
α = 123.68°, β = 106.13°, γ = 99.65°
Positions (direct):
Tb (0.750, 0.000, 0.750)
Tb (0.250, 0.000, 0.250)
O (0.251, 0.752, 0.804)
O (0.948, 0.752, 0.501)
O (0.552, 0.553, 0.304)
O (0.340, 0.904, 0.564)
O (0.249, 0.553, 0.001)
O (0.749, 0.248, 0.196)
O (0.840, 0.776, 0.936)
O (0.751, 0.447, 0.999)
O (0.160, 0.224, 0.064)
O (0.660, 0.096, 0.436)
O (0.448, 0.447, 0.696)
O (0.052, 0.248, 0.499)
B (0.815, 0.196, 0.381)
B (0.685, 0.566, 0.881)
B (0.750, 0.500, 0.250)
B (0.185, 0.804, 0.619)
B (0.250, 0.500, 0.750)
B (0.315, 0.434, 0.119)

## Properties
Mass density ... 4.72 g cm⁻³
Magnetic moment ... 0.0 μB/f.u.
Space-group type ... Ibam (72)
Uncorrected formation energy ... -2755.5 meV/atom

=====

A relaxed structure of Ce2Ga5I12, computed with PBE.

a = 8.933 Å, b = 9.993 Å, c = 11.049 Å
α = 105.01°, β = 90.00°, γ = 116.55°
Each line ends with the local moment (μB).
Positions (direct):
I (0.975, 0.950, 0.184)  -0.01
I (0.568, 0.654, 0.878)  -0.02
I (0.388, 0.274, 0.537)  -0.01
I (0.086, 0.654, 0.878)  -0.02
I (0.612, 0.726, 0.463)  -0.01
I (0.025, 0.050, 0.816)  -0.01
I (0.887, 0.274, 0.537)  -0.01
I (0.113, 0.726, 0.463)  -0.01
I (0.432, 0.346, 0.122)  -0.02
I (0.914, 0.346, 0.122)  -0.02
I (0.512, 0.024, 0.805)  -0.01
I (0.488, 0.976, 0.195)  -0.01
Ga (0.277, 0.554, 0.620)  0.00
Ga (0.000, 0.000, 0.500)  0.00
Ga (0.316, 0.631, 0.266)  -0.01
Ga (0.723, 0.446, 0.380)  0.00
Ga (0.684, 0.369, 0.734)  -0.01
Ce (0.749, 0.000, 0.000)  0.60
Ce (0.251, 0.000, 0.000)  0.60

## Properties
Mass density ... 4.23 g cm⁻³
Magnetic moment ... 1.0 μB/f.u.
Space-group type ... C2/m (12)
Uncorrected formation energy ... -722.5 meV/atom

=====

A relaxed structure of SrNd2Th, computed with PBE.

a = 3.729 Å, b = 3.729 Å, c = 10.947 Å
α = 90.00°, β = 90.00°, γ = 90.00°
Positions (direct):
Nd (0.000, 0.000, 0.217)
Nd (0.000, 0.000, 0.783)
Th (0.500, 0.500, 0.000)
Sr (0.500, 0.500, 0.500)

## Properties
Mass density ... 6.63 g cm⁻³
Magnetic moment ... 0.0 μB/f.u.
Calculated formation energy ... 0.08 eV/atom
Space-group type ... P4/mmm (123)

=====

A relaxed structure of LiPmSmIn, computed with PBE.

a = 5.390 Å, b = 5.390 Å, c = 5.390 Å
α = 60.00°, β = 60.00°, γ = 60.00°
Positions (direct):
In (0.500, 0.500, 0.500)
Li (0.000, 0.000, 0.000)
Pm (0.750, 0.750, 0.750)
Sm (0.250, 0.250, 0.250)

## Properties
Mass density ... 6.25 g cm⁻³
Magnetic moment ... 0.0 μB/f.u.
Calculated formation energy ... -0.27 eV/atom
Space-group type ... F-43m (216)

=====

A relaxed structure of AcTl2Hg3, computed with PBE.

a = 5.080 Å, b = 5.092 Å, c = 13.465 Å
α = 90.00°, β = 90.00°, γ = 90.00°
Positions (direct):
Ac (0.000, 0.000, 0.000)
Ac (0.000, 0.500, 0.500)
Hg (0.500, 0.500, 0.334)
Hg (0.500, 0.500, 0.000)
Hg (0.500, 0.000, 0.500)
Hg (0.500, 0.000, 0.166)
Hg (0.500, 0.000, 0.834)
Hg (0.500, 0.500, 0.666)
Tl (0.000, 0.500, 0.179)
Tl (0.000, 0.000, 0.679)
Tl (0.000, 0.000, 0.321)
Tl (0.000, 0.500, 0.821)

## Properties
Mass density ... 11.80 g cm⁻³
Magnetic moment ... 0.0 μB/f.u.
Calculated formation energy ... -0.26 eV/atom
Space-group type ... Cmmm (65)

=====

Repeat the second record exactly.
A relaxed structure of TbB3O6, computed with PBE.

a = 6.514 Å, b = 6.514 Å, c = 6.514 Å
α = 123.68°, β = 106.13°, γ = 99.65°
Positions (direct):
Tb (0.750, 0.000, 0.750)
Tb (0.250, 0.000, 0.250)
O (0.251, 0.752, 0.804)
O (0.948, 0.752, 0.501)
O (0.552, 0.553, 0.304)
O (0.340, 0.904, 0.564)
O (0.249, 0.553, 0.001)
O (0.749, 0.248, 0.196)
O (0.840, 0.776, 0.936)
O (0.751, 0.447, 0.999)
O (0.160, 0.224, 0.064)
O (0.660, 0.096, 0.436)
O (0.448, 0.447, 0.696)
O (0.052, 0.248, 0.499)
B (0.815, 0.196, 0.381)
B (0.685, 0.566, 0.881)
B (0.750, 0.500, 0.250)
B (0.185, 0.804, 0.619)
B (0.250, 0.500, 0.750)
B (0.315, 0.434, 0.119)

## Properties
Mass density ... 4.72 g cm⁻³
Magnetic moment ... 0.0 μB/f.u.
Space-group type ... Ibam (72)
Uncorrected formation energy ... -2755.5 meV/atom